CoRePO GGA+U relaxed; ΔE to the lowest computed polymorph = 103.2 meV per atom; space-group type = Pmc2_1, No. 26; crystal system = orthorhombic
1.0
3.910 0.000 0.000
0.000 4.891 0.000
0.000 0.000 5.422
Co Re P O
2 2 2 2
direct
0.000 0.221 0.000
0.000 0.779 0.500
0.500 0.163 0.376
0.500 0.837 0.876
0.500 0.344 0.784
0.500 0.656 0.284
0.000 0.170 0.364
0.000 0.830 0.864